Sn3BPt PBE optimized geometry; symmetry = Pm-3m; E_tot = -4.38 eV/atom; M_tot = 0.00 μB/f.u.; formation energy from the elements = 566 meV/atom
1.0
4.7142 0.0000 0.0000
0.0000 4.7142 0.0000
0.0000 0.0000 4.7142
Sn B Pt
3 1 1
direct
0.0000 0.0000 0.5000
0.0000 0.5000 0.0000
0.5000 0.0000 0.0000
0.0000 0.0000 0.0000
0.5000 0.5000 0.5000

---

SnB2Pt PBE optimized geometry; symmetry = P1; E_tot = -5.74 eV/atom; M_tot = 0.00 μB/f.u.; formation energy from the elements = 114 meV/atom
1.0
4.5169 0.0000 0.0000
0.3930 5.4878 0.0000
1.4955 0.8318 5.3094
Sn B Pt
2 4 2
direct
0.0000 0.0000 0.0000
0.2041 0.2467 0.3542
0.5952 0.7692 0.4865
0.6381 0.4697 0.5866
0.6489 0.6676 0.7775
0.6993 0.3637 0.8718
0.5914 0.0723 0.6669
0.6613 0.5875 0.1708

---

Question: What is the E_tot in the first record?
Answer: -4.38 eV/atom